The following is a PBE+U calculation of a geometry-optimized ZrMn2H12O6F8 structure, from Alexandria.

The calculation puts the magnetic moment at 10.00 μB/f.u. As for the total energy: -5.595 eV per atom.

abc: 11.4199 8.2462 12.5815
angles: 90.00 111.12 90.00
Space group C2/c (No. 15)
Symmetry-distinct sites (fractional):
Zr 0.0000 0.2335 0.2500
Mn 0.1777 0.1083 0.7143
H 0.0535 0.3104 0.5342
H 0.0680 0.4073 0.6480
H 0.0999 0.2464 0.8798
H 0.1341 0.0238 0.4846
H 0.2234 0.4200 0.4473
H 0.2300 0.3280 0.8945
O 0.0437 0.3002 0.6095
O 0.1790 0.2289 0.8651
O 0.2038 0.0198 0.5597
F 0.0053 0.0308 0.3589
F 0.0912 0.3214 0.4193
F 0.1155 0.4255 0.2245
F 0.1875 0.1413 0.2881